No. 1
Entry from Alexandria via LeMat-Bulk: a relaxed structure of Pu2FeRe (PBE-GGA).

Computed properties:
* relative energy among the computed polymorphs: 0.0232 eV per atom
* energy relative to the elements: 192 meV/atom

Unit cell a=6.7254 b=6.7254 c=6.7254 alpha=90.00 beta=90.00 gamma=90.00
Space group Fm-3m (No. 225)
Unique sites:
Pu: 0.2500 0.2500 0.2500 x8
Fe: 0.0000 0.0000 0.0000 x4
Re: 0.0000 0.0000 0.5000 x4

=====

No. 2
Entry from Alexandria via LeMat-Bulk: a relaxed structure of Zr2Pd2Ru (PBE-GGA).

Computed properties:
* energy relative to the elements: -360 meV/atom

Unit cell a=7.2776 b=7.2776 c=3.4416 alpha=90.00 beta=90.00 gamma=90.00
Space group P4/mbm (No. 127)
Unique sites:
Zr: 0.1791 0.3209 0.0000 x4
Pd: 0.1272 0.6272 0.5000 x4
Ru: 0.0000 0.0000 0.5000 x2

=====

No. 3
Entry from Alexandria via LeMat-Bulk: a relaxed structure of InSbTe2I (PBE-GGA).

Computed properties:
* relative energy among the computed polymorphs: 0.0000 eV per atom
* formation energy (no corrections): 0.12 eV per atom

Unit cell a=5.7829 b=5.7829 c=6.1209 alpha=90.00 beta=90.00 gamma=90.00
Space group P4/mmm (No. 123)
Unique sites:
In: 0.0000 0.0000 0.0000 x1
Sb: 0.5000 0.5000 0.5000 x1
Te: 0.0000 0.5000 0.5000 x2
I: 0.5000 0.5000 0.0000 x1

=====

The records above yield D(E_F) values of 2.478; 1.447; 0.795 states/eV per atom, respectively.
The records above yield E values of -12.2014; -7.7118; -2.8196 eV per atom, respectively.